Here is BeInOs at its PBEsol-relaxed geometry from the Alexandria database. Energies are from meta-GGA SCAN.

Geometry as POSCAR:
```
BeInOs
1.0
-1.1381 2.3565 -1.0557
-0.9757 -0.7758 2.5316
5.5350 2.6129 2.0308
Be Os In
1 1 1
direct
0.0171 0.0171 0.0341 Be
0.6474 0.6474 0.2947 Os
0.3356 0.3356 0.6711 In
```

Summary:
crystal system = orthorhombic
uncorrected energy = -108.0 eV for the cell shown
DFT formation energy = 0.53 eV/atom